Record 1
A geometry-optimized V4CrCu2 structure, computed with GGA-PBE.

Cell: 6.8907 6.8907 6.8907 Å, 144.03 144.03 51.78°
With the nearest neighbours (Å) after each atom.
Fractional positions:
V 0.0000 0.5000 0.5000  2 Cr 2.13
V 0.1844 0.1844 0.0000  1 Cr 2.29, 1 Cu 2.47
V 0.5000 0.0000 0.5000  2 Cr 2.13
V 0.8156 0.8156 0.0000  1 Cr 2.29, 1 Cu 2.47
Cr 0.0000 0.0000 0.0000  6 V 2.13-2.29
Cu 0.3836 0.3836 0.0000  5 V 2.47-2.57
Cu 0.6164 0.6164 0.0000  5 V 2.47-2.57

Calculated values
E: -6.811 eV/atom
V: 16.0 Å³ per atom
Crystal system: tetragonal

Record 2
A geometry-optimized LiCrIrW structure, computed with GGA-PBE.

Cell: 4.2757 4.2757 4.2757 Å, 60.00 60.00 60.00°
With the nearest neighbours (Å) after each atom.
Fractional positions:
Li 0.0000 0.0000 0.0000  4 Ir 2.62, 4 Cr 2.62
Cr 0.2500 0.2500 0.2500  4 W 2.62, 4 Li 2.62
Ir 0.7500 0.7500 0.7500  4 W 2.62, 4 Li 2.62
W 0.5000 0.5000 0.5000  4 Ir 2.62, 4 Cr 2.62

Calculated values
E: -8.314 eV/atom
V: 13.8 Å³ per atom
Crystal system: cubic

Record 3
A geometry-optimized Y2Cd2Au structure, computed with GGA-PBE.

Cell: 10.4537 10.4537 3.4682 Å, 90.00 90.00 160.38°
With the nearest neighbours (Å) after each atom.
Fractional positions:
Y 0.0898 0.9102 0.0000  4 Au 3.10, 4 Cd 3.28, 2 Y 3.47
Y 0.9102 0.0898 0.0000  4 Au 3.10, 4 Cd 3.28, 2 Y 3.47
Cd 0.3060 0.6940 0.5000  2 Cd 2.91
Cd 0.6940 0.3060 0.5000  2 Cd 2.91
Au 0.5000 0.5000 0.5000  8 Y 3.10, 2 Au 3.47

Calculated values
E: -4.028 eV/atom
V: 25.5 Å³ per atom
Crystal system: orthorhombic
Excess energy over the best structure of this formula in the dataset: 0.0 meV/atom

Record 4
A geometry-optimized TeIrF structure, computed with GGA-PBE.

Cell: 3.6935 3.6935 5.0711 Å, 90.00 90.00 120.00°
With the nearest neighbours (Å) after each atom.
Fractional positions:
Te 0.0000 0.0000 0.0000  3 Ir 2.53
Ir 0.6667 0.3333 0.2700  3 F 2.45, 3 Te 2.53
F 0.3333 0.6667 0.5060  3 Ir 2.45

Calculated values
E: -5.245 eV/atom
V: 20.0 Å³ per atom
Formation energy (no corrections): -0.62 eV/atom
Crystal system: trigonal
Excess energy over the best structure of this formula in the dataset: 23.5 meV/atom